(1)
KRhPb2 at its PBEsol-relaxed geometry. Source: Alexandria, functional meta-GGA SCAN.

Cell: 3.4325 5.0390 6.9198 Å, 90.00 104.23 90.00°
Positions (direct):
K (0.0000, 0.0000, 0.0000)
Rh (0.3282, 0.5000, 0.6583)
Pb (0.2756, 0.0000, 0.5453)
Pb (0.6703, 0.5000, 0.3387)

energy relative to the elements	0.0898	eV per atom
total energy	-193.30	eV per cell
size of the total moment	0.000	μB per atom

---

(2)
NiAg2Ru at its PBEsol-relaxed geometry. Source: Alexandria, functional meta-GGA SCAN.

Cell: 4.3420 4.3420 4.3420 Å, 60.00 60.00 60.00°
Positions (direct):
Ni (0.0000, 0.0000, 0.0000)
Ag (0.2500, 0.2500, 0.2500)
Ag (0.5000, 0.5000, 0.5000)
Ru (0.7500, 0.7500, 0.7500)

ΔE to the lowest computed polymorph	61	meV/atom
energy relative to the elements	0.5358	eV per atom
total energy	-111.59	eV per cell
size of the total moment	0.616	μB per atom

---

(3)
ZrMnPt2 at its PBEsol-relaxed geometry. Source: Alexandria, functional meta-GGA SCAN.

Cell: 4.9501 4.9501 4.9501 Å, 133.45 133.45 67.94°
Positions (direct):
Zr (0.0000, 0.0000, 0.0000)
Mn (0.2500, 0.7500, 0.5000)
Pt (0.5000, 0.5000, 0.0000)
Pt (0.7500, 0.2500, 0.5000)

energy relative to the elements	-1.0559	eV per atom
total energy	-193.56	eV per cell
size of the total moment	0.950	μB per atom

---

(4)
MnTl3Cd at its PBEsol-relaxed geometry. Source: Alexandria, functional meta-GGA SCAN.

Cell: 5.1370 5.1370 5.1370 Å, 90.00 90.00 90.00°
Positions (direct):
Mn (0.0000, 0.0000, 0.0000)
Tl (0.0000, 0.0000, 0.5000)
Tl (0.0000, 0.5000, 0.0000)
Tl (0.5000, 0.0000, 0.0000)
Cd (0.5000, 0.5000, 0.5000)

ΔE to the lowest computed polymorph	0	meV/atom
energy relative to the elements	0.2546	eV per atom
total energy	-264.47	eV per cell
size of the total moment	0.502	μB per atom

---

(5)
CsTe2SI at its PBEsol-relaxed geometry. Source: Alexandria, functional meta-GGA SCAN.

Cell: 5.3976 5.3976 5.7035 Å, 90.00 90.00 90.00°
Positions (direct):
Cs (0.0000, 0.0000, 0.0000)
Te (0.0000, 0.5000, 0.5000)
Te (0.5000, 0.0000, 0.5000)
S (0.5000, 0.5000, 0.5000)
I (0.5000, 0.5000, 0.0000)

total energy	-159.82	eV per cell
ΔE_f (raw)	-228	meV per atom
size of the total moment	0.000	μB per atom

---

(6)
Re2TeAs at its PBEsol-relaxed geometry. Source: Alexandria, functional meta-GGA SCAN.

Cell: 2.9005 2.9005 9.9428 Å, 90.00 90.00 118.40°
Positions (direct):
Re (0.0000, 0.0000, 0.0000)
Re (0.5000, 0.5000, 0.2107)
Te (0.5000, 0.5000, 0.7554)
As (0.0000, 0.0000, 0.4256)

ΔE to the lowest computed polymorph	419	meV/atom
total energy	-196.95	eV per cell
ΔE_f (raw)	673	meV per atom
size of the total moment	0.000	μB per atom

---

(7)
MgIn3Rh at its PBEsol-relaxed geometry. Source: Alexandria, functional meta-GGA SCAN.

Cell: 5.1219 5.1219 5.1219 Å, 90.00 90.00 90.00°
Positions (direct):
Mg (0.0000, 0.0000, 0.0000)
In (0.0000, 0.0000, 0.5000)
In (0.0000, 0.5000, 0.0000)
In (0.5000, 0.0000, 0.0000)
Rh (0.5000, 0.5000, 0.5000)

energy relative to the elements	0.9985	eV per atom
total energy	-133.91	eV per cell
size of the total moment	0.185	μB per atom

---

(8)
ZrZn2Pt2 at its PBEsol-relaxed geometry. Source: Alexandria, functional meta-GGA SCAN.

Cell: 6.9884 6.9884 6.9884 Å, 150.57 150.57 42.11°
Positions (direct):
Zr (0.0000, 0.0000, 0.0000)
Zn (0.2500, 0.7500, 0.5000)
Zn (0.7500, 0.2500, 0.5000)
Pt (0.3980, 0.3980, 0.0000)
Pt (0.6020, 0.6020, 0.0000)

ΔE to the lowest computed polymorph	0	meV/atom
energy relative to the elements	-0.8283	eV per atom
total energy	-202.26	eV per cell
size of the total moment	0.000	μB per atom

---

(9)
Os2RuPb at its PBEsol-relaxed geometry. Source: Alexandria, functional meta-GGA SCAN.

Cell: 4.8462 4.8462 4.8231 Å, 98.71 98.71 34.56°
Positions (direct):
Os (0.2365, 0.2365, 0.2194)
Os (0.7635, 0.7635, 0.7806)
Ru (0.5000, 0.5000, 0.0000)
Pb (0.0000, 0.0000, 0.5000)

energy relative to the elements	0.7824	eV per atom
total energy	-251.24	eV per cell
size of the total moment	0.000	μB per atom

---

(10)
Co2SiAu at its PBEsol-relaxed geometry. Source: Alexandria, functional meta-GGA SCAN.

Cell: 2.6834 3.4224 5.4312 Å, 90.00 90.00 90.00°
Positions (direct):
Co (0.0000, 0.0000, 0.0000)
Co (0.5000, 0.5000, 0.2116)
Si (0.0000, 0.0000, 0.4119)
Au (0.5000, 0.5000, 0.7173)

total energy	-113.52	eV per cell
ΔE_f (raw)	64	meV per atom
size of the total moment	0.728	μB per atom